The following is a GGA-PBE calculation of crystalline Na4Nb3ReN8 at its relaxed geometry, from the Alexandria database.

Cell: 6.202 6.763 6.202 Å, 117.31 120.00 90.00°
Fractional coordinates of all 16 atoms:
Re1 0.000 0.500 0.000
Na1 0.500 0.000 0.500
Na2 0.000 0.000 0.500
Na3 0.500 0.000 0.000
Na4 0.000 0.000 0.000
N1 0.267 0.302 0.534
N2 0.230 0.699 0.459
N3 0.770 0.301 0.541
N4 0.230 0.699 0.970
N5 0.260 0.301 0.030
N6 0.770 0.301 0.030
N7 0.733 0.698 0.466
N8 0.740 0.699 0.970
Nb1 0.500 0.500 0.500
Nb2 0.500 0.500 0.000
Nb3 0.000 0.500 0.500

Values from the calculation:
**Mass density**: 5.81 g cm⁻³
**SG**: R-3m (166)
**Formation energy from raw total energies**: -0.524 eV per atom
**V**: 191.07 Å³/f.u.
**DFT total energy**: -0.5646 Ry/atom
**Total magnetization**: 0.0 Bohr magnetons per cell



The following is a GGA-PBE calculation of crystalline Na3Nb3ReN8 at its relaxed geometry, from the Alexandria database.

Cell: 6.186 6.187 6.821 Å, 117.03 89.98 119.99°
Fractional coordinates of all 15 atoms:
N1 0.259 0.034 0.310
N2 0.776 0.552 0.310
N3 0.225 0.966 0.690
N4 0.775 0.034 0.310
N5 0.224 0.448 0.690
N6 0.741 0.966 0.690
N7 0.732 0.465 0.697
N8 0.268 0.535 0.303
Na1 0.000 0.000 0.000
Na2 0.000 0.500 0.000
Na3 0.500 0.500 0.000
Nb1 0.500 0.000 0.500
Nb2 0.000 0.500 0.500
Nb3 0.500 0.500 0.500
Re1 0.000 0.000 0.500

Values from the calculation:
**Mass density**: 5.57 g cm⁻³
**SG**: C2/m (12)
**Formation energy from raw total energies**: -0.462 eV per atom
**V**: 192.50 Å³/f.u.
**DFT total energy**: -0.5887 Ry/atom
**Total magnetization**: 0.0 Bohr magnetons per cell



The following is a GGA-PBE calculation of crystalline Na2NbReN4 at its relaxed geometry, from the Alexandria database.

Cell: 5.983 5.983 5.983 Å, 75.87 128.46 128.46°
Fractional coordinates of all 8 atoms:
Na1 0.000 0.000 0.000
Na2 0.500 0.750 0.250
N1 0.914 0.531 0.139
N2 0.392 0.861 0.776
N3 0.086 0.224 0.617
N4 0.608 0.383 0.469
Re1 0.000 0.500 0.500
Nb1 0.500 0.250 0.750

Values from the calculation:
**Mass density**: 4.96 g cm⁻³
**SG**: I-4 (82)
**Formation energy from raw total energies**: -0.386 eV per atom
**V**: 127.70 Å³/f.u.
**DFT total energy**: -0.5654 Ry/atom
**Total magnetization**: 0.0 Bohr magnetons per cell



The following is a GGA-PBE calculation of crystalline NaSc2Nb3N6 at its relaxed geometry, from the Alexandria database.

Cell: 3.132 6.387 7.144 Å, 104.91 102.66 90.00°
Fractional coordinates of all 12 atoms:
Sc1 0.163 0.325 0.326
Sc2 0.837 0.675 0.674
Nb1 0.500 0.500 0.000
Nb2 0.160 0.821 0.319
Nb3 0.840 0.179 0.681
N1 0.332 0.418 0.664
N2 0.674 0.076 0.348
N3 0.326 0.924 0.652
N4 0.001 0.735 0.002
N5 0.999 0.265 0.998
N6 0.668 0.582 0.336
Na1 0.500 0.000 0.000

Values from the calculation:
**Mass density**: 5.87 g cm⁻³
**SG**: C2/m (12)
**Formation energy from raw total energies**: -1.237 eV per atom
**V**: 134.51 Å³/f.u.
**DFT total energy**: -0.6675 Ry/atom
**Total magnetization**: 0.0 Bohr magnetons per cell



The following is a GGA-PBE calculation of crystalline NaSc2NbN at its relaxed geometry, from the Alexandria database.

Cell: 4.960 4.719 4.960 Å, 90.00 90.00 90.00°
Fractional coordinates of all 5 atoms:
N1 0.500 0.500 0.500
Na1 0.000 0.000 0.000
Sc1 0.500 0.000 0.000
Sc2 0.000 0.000 0.500
Nb1 0.000 0.500 0.000

Values from the calculation:
**Mass density**: 3.14 g cm⁻³
**SG**: P4/mmm (123)
**Formation energy from raw total energies**: 2.362 eV per atom
**V**: 116.10 Å³/f.u.
**DFT total energy**: -0.3023 Ry/atom
**Total magnetization**: 1.5 Bohr magnetons per cell



The following is a GGA-PBE calculation of crystalline NaSmNb4N8 at its relaxed geometry, from the Alexandria database.

Cell: 6.385 6.385 6.548 Å, 60.82 60.82 60.00°
Fractional coordinates of all 14 atoms:
Nb1 0.622 0.622 0.133
Nb2 0.002 0.485 0.512
Nb3 0.485 0.002 0.512
Nb4 0.002 0.002 0.512
N1 0.248 0.248 0.698
N2 0.235 0.235 0.294
N3 0.734 0.734 0.279
N4 0.248 0.806 0.698
N5 0.760 0.760 0.719
N6 0.252 0.734 0.279
N7 0.734 0.252 0.279
N8 0.806 0.248 0.698
Na1 0.995 0.995 0.016
Sm1 0.377 0.377 0.870

Values from the calculation:
**Mass density**: 5.71 g cm⁻³
**SG**: R3m (160)
**Formation energy from raw total energies**: -0.750 eV per atom
**V**: 191.06 Å³/f.u.
**DFT total energy**: -0.6480 Ry/atom
**Total magnetization**: 0.0 Bohr magnetons per cell



The following is a GGA-PBE calculation of crystalline NaSrNbN3 at its relaxed geometry, from the Alexandria database.

Cell: 5.737 5.813 6.392 Å, 62.95 83.85 76.38°
Fractional coordinates of all 12 atoms:
Sr1 0.250 0.263 0.473
Sr2 0.750 0.737 0.527
N1 0.250 0.782 0.435
N2 0.505 0.152 0.121
N3 0.995 0.727 0.121
N4 0.495 0.848 0.879
N5 0.750 0.218 0.565
N6 0.005 0.273 0.879
Na1 0.250 0.573 0.854
Na2 0.750 0.427 0.146
Nb1 0.250 0.958 0.084
Nb2 0.750 0.042 0.916

Values from the calculation:
**Mass density**: 4.42 g cm⁻³
**SG**: C2/c (15)
**Formation energy from raw total energies**: -0.580 eV per atom
**V**: 92.25 Å³/f.u.
**DFT total energy**: -0.5087 Ry/atom
**Total magnetization**: 2.0 Bohr magnetons per cell



The following is a GGA-PBE calculation of crystalline NaTaNb2N at its relaxed geometry, from the Alexandria database.

Cell: 4.816 3.757 4.816 Å, 90.00 90.00 90.00°
Fractional coordinates of all 5 atoms:
Na1 0.000 0.000 0.000
N1 0.000 0.500 0.000
Nb1 0.500 0.000 0.000
Nb2 0.000 0.000 0.500
Ta1 0.500 0.500 0.500

Values from the calculation:
**Mass density**: 7.69 g cm⁻³
**SG**: P4/mmm (123)
**Formation energy from raw total energies**: 2.088 eV per atom
**V**: 87.13 Å³/f.u.
**DFT total energy**: -0.4586 Ry/atom
**Total magnetization**: 0.7 Bohr magnetons per cell



The following is a GGA-PBE calculation of crystalline NaTa4NbN8 at its relaxed geometry, from the Alexandria database.

Cell: 6.313 6.313 6.316 Å, 60.02 60.02 60.00°
Fractional coordinates of all 14 atoms:
Ta1 0.625 0.625 0.125
Ta2 0.483 0.005 0.506
Ta3 0.005 0.005 0.506
Ta4 0.005 0.483 0.506
N1 0.751 0.751 0.260
N2 0.236 0.236 0.729
N3 0.238 0.751 0.260
N4 0.799 0.236 0.729
N5 0.236 0.799 0.729
N6 0.233 0.233 0.300
N7 0.756 0.756 0.732
N8 0.751 0.238 0.260
Na1 0.375 0.375 0.876
Nb1 0.007 0.007 0.980

Values from the calculation:
**Mass density**: 8.88 g cm⁻³
**SG**: R3m (160)
**Formation energy from raw total energies**: -0.864 eV per atom
**V**: 178.06 Å³/f.u.
**DFT total energy**: -0.7219 Ry/atom
**Total magnetization**: 0.0 Bohr magnetons per cell



The following is a GGA-PBE calculation of crystalline Na3Nb3TcN8 at its relaxed geometry, from the Alexandria database.

Cell: 6.191 6.191 6.809 Å, 117.05 90.01 119.99°
Fractional coordinates of all 15 atoms:
Na1 0.500 0.500 0.000
Na2 0.000 0.000 0.000
Na3 0.000 0.500 0.000
N1 0.774 0.036 0.310
N2 0.226 0.964 0.690
N3 0.262 0.036 0.310
N4 0.774 0.549 0.310
N5 0.732 0.464 0.696
N6 0.268 0.536 0.304
N7 0.738 0.964 0.690
N8 0.226 0.451 0.690
Nb1 0.500 0.000 0.500
Nb2 0.000 0.500 0.500
Nb3 0.500 0.500 0.500
Tc1 0.000 0.000 0.500

Values from the calculation:
**Mass density**: 4.81 g cm⁻³
**SG**: R-3m (166)
**Formation energy from raw total energies**: -0.419 eV per atom
**V**: 192.37 Å³/f.u.
**DFT total energy**: -0.5754 Ry/atom
**Total magnetization**: 0.6 Bohr magnetons per cell



The following is a GGA-PBE calculation of crystalline NaNbTe2N at its relaxed geometry, from the Alexandria database.

Cell: 5.692 5.692 3.937 Å, 90.00 90.00 90.00°
Fractional coordinates of all 5 atoms:
Te1 0.000 0.500 0.000
Te2 0.500 0.000 0.000
N1 0.000 0.000 0.500
Na1 0.500 0.500 0.500
Nb1 0.000 0.000 0.000

Values from the calculation:
**Mass density**: 5.01 g cm⁻³
**SG**: P4/mmm (123)
**Formation energy from raw total energies**: -0.198 eV per atom
**Excess energy over the best structure of this formula in the dataset**: 0 meV/atom
**V**: 127.54 Å³/f.u.
**DFT total energy**: -0.3967 Ry/atom
**Total magnetization**: 0.0 Bohr magnetons per cell



The following is a GGA-PBE calculation of crystalline NaNbTeN2 at its relaxed geometry, from the Alexandria database.

Cell: 4.165 4.165 5.110 Å, 90.00 90.00 90.00°
Fractional coordinates of all 5 atoms:
Te1 0.000 0.000 0.500
N1 0.000 0.500 0.000
N2 0.500 0.000 0.000
Nb1 0.500 0.500 0.500
Na1 0.000 0.000 0.000

Values from the calculation:
**Mass density**: 5.09 g cm⁻³
**SG**: P4/mmm (123)
**Formation energy from raw total energies**: 2.123 eV per atom
**Excess energy over the best structure of this formula in the dataset**: 1998 meV/atom
**V**: 88.62 Å³/f.u.
**DFT total energy**: -0.3023 Ry/atom
**Total magnetization**: 2.5 Bohr magnetons per cell



The following is a GGA-PBE calculation of crystalline Na2NbTeN at its relaxed geometry, from the Alexandria database.

Cell: 6.114 4.056 6.114 Å, 90.00 90.00 90.00°
Fractional coordinates of all 5 atoms:
Te1 0.000 0.000 0.000
Nb1 0.500 0.500 0.500
Na1 0.500 0.000 0.000
Na2 0.000 0.000 0.500
N1 0.000 0.500 0.000

Values from the calculation:
**Mass density**: 3.07 g cm⁻³
**SG**: P4/mmm (123)
**Formation energy from raw total energies**: 1.595 eV per atom
**V**: 151.62 Å³/f.u.
**DFT total energy**: -0.2381 Ry/atom
**Total magnetization**: 0.5 Bohr magnetons per cell



The following is a GGA-PBE calculation of crystalline NaNbTe2N at its relaxed geometry, from the Alexandria database.

Cell: 5.503 5.503 4.062 Å, 90.00 90.00 90.00°
Fractional coordinates of all 5 atoms:
Te1 0.500 0.000 0.000
Te2 0.000 0.500 0.000
N1 0.000 0.000 0.500
Na1 0.000 0.000 0.000
Nb1 0.500 0.500 0.500

Values from the calculation:
**Mass density**: 5.20 g cm⁻³
**SG**: P4/mmm (123)
**Formation energy from raw total energies**: 1.426 eV per atom
**Excess energy over the best structure of this formula in the dataset**: 1623 meV/atom
**V**: 122.99 Å³/f.u.
**DFT total energy**: -0.2774 Ry/atom
**Total magnetization**: 4.8 Bohr magnetons per cell



The following is a GGA-PBE calculation of crystalline NaNbTeN2 at its relaxed geometry, from the Alexandria database.

Cell: 4.116 4.116 5.800 Å, 90.00 90.00 90.00°
Fractional coordinates of all 5 atoms:
Na1 0.500 0.500 0.500
Nb1 0.000 0.000 0.000
Te1 0.000 0.000 0.500
N1 0.000 0.500 0.000
N2 0.500 0.000 0.000

Values from the calculation:
**Mass density**: 4.59 g cm⁻³
**SG**: P4/mmm (123)
**Formation energy from raw total energies**: 0.125 eV per atom
**Excess energy over the best structure of this formula in the dataset**: 0 meV/atom
**V**: 98.27 Å³/f.u.
**DFT total energy**: -0.4492 Ry/atom
**Total magnetization**: 1.0 Bohr magnetons per cell



The following is a GGA-PBE calculation of crystalline NaThNb4N8 at its relaxed geometry, from the Alexandria database.

Cell: 6.441 6.441 6.478 Å, 60.19 60.19 60.00°
Fractional coordinates of all 14 atoms:
Nb1 0.005 0.487 0.503
Nb2 0.622 0.622 0.133
Nb3 0.487 0.005 0.503
Nb4 0.005 0.005 0.503
Na1 0.993 0.993 0.020
N1 0.811 0.241 0.708
N2 0.240 0.240 0.279
N3 0.729 0.251 0.290
N4 0.241 0.241 0.708
N5 0.729 0.729 0.290
N6 0.241 0.811 0.708
N7 0.251 0.729 0.290
N8 0.756 0.756 0.732
Th1 0.389 0.389 0.833

Values from the calculation:
**Mass density**: 6.44 g cm⁻³
**SG**: R3m (160)
**Formation energy from raw total energies**: -0.794 eV per atom
**V**: 190.58 Å³/f.u.
**DFT total energy**: -0.6653 Ry/atom
**Total magnetization**: 0.0 Bohr magnetons per cell



The following is a GGA-PBE calculation of crystalline NaTiNbN3 at its relaxed geometry, from the Alexandria database.

Cell: 3.143 6.529 9.268 Å, 94.24 90.00 90.00°
Fractional coordinates of all 12 atoms:
Nb1 0.250 0.614 0.112
Nb2 0.750 0.386 0.888
N1 0.750 0.388 0.105
N2 0.750 0.785 0.222
N3 0.250 0.215 0.778
N4 0.250 0.612 0.895
N5 0.250 0.845 0.544
N6 0.750 0.155 0.456
Ti1 0.750 0.851 0.424
Ti2 0.250 0.149 0.576
Na1 0.250 0.150 0.216
Na2 0.750 0.850 0.784

Values from the calculation:
**Mass density**: 3.60 g cm⁻³
**SG**: P2_1/m (11)
**Formation energy from raw total energies**: -0.807 eV per atom
**V**: 94.83 Å³/f.u.
**DFT total energy**: -0.6015 Ry/atom
**Total magnetization**: 0.0 Bohr magnetons per cell



The following is a GGA-PBE calculation of crystalline NaNbTlN2 at its relaxed geometry, from the Alexandria database.

Cell: 4.123 5.875 4.123 Å, 90.00 90.00 90.00°
Fractional coordinates of all 5 atoms:
N1 0.000 0.000 0.500
N2 0.500 0.000 0.000
Na1 0.000 0.500 0.000
Tl1 0.500 0.500 0.500
Nb1 0.000 0.000 0.000

Values from the calculation:
**Mass density**: 5.79 g cm⁻³
**SG**: P4/mmm (123)
**Formation energy from raw total energies**: 0.553 eV per atom
**V**: 99.88 Å³/f.u.
**DFT total energy**: -0.4063 Ry/atom
**Total magnetization**: 0.0 Bohr magnetons per cell



The following is a GGA-PBE calculation of crystalline NaTmNb4N8 at its relaxed geometry, from the Alexandria database.

Cell: 6.350 6.350 6.471 Å, 60.62 60.62 60.00°
Fractional coordinates of all 14 atoms:
N1 0.797 0.250 0.702
N2 0.238 0.238 0.286
N3 0.735 0.250 0.279
N4 0.250 0.797 0.702
N5 0.250 0.250 0.702
N6 0.250 0.735 0.279
N7 0.760 0.760 0.719
N8 0.735 0.735 0.279
Nb1 0.001 0.485 0.512
Nb2 0.623 0.623 0.132
Nb3 0.485 0.001 0.512
Nb4 0.001 0.001 0.512
Na1 0.995 0.995 0.015
Tm1 0.378 0.378 0.866

Values from the calculation:
**Mass density**: 6.03 g cm⁻³
**SG**: R3m (160)
**Formation energy from raw total energies**: -0.780 eV per atom
**V**: 186.17 Å³/f.u.
**DFT total energy**: -0.6488 Ry/atom
**Total magnetization**: 0.0 Bohr magnetons per cell



The following is a GGA-PBE calculation of crystalline NaUNb4N8 at its relaxed geometry, from the Alexandria database.

Cell: 6.427 6.427 6.311 Å, 59.39 59.39 60.00°
Fractional coordinates of all 14 atoms:
Nb1 0.007 0.007 0.497
Nb2 0.007 0.489 0.497
Nb3 0.489 0.007 0.497
Nb4 0.626 0.626 0.123
N1 0.755 0.755 0.734
N2 0.239 0.793 0.728
N3 0.719 0.252 0.310
N4 0.719 0.719 0.310
N5 0.239 0.239 0.728
N6 0.247 0.247 0.258
N7 0.793 0.239 0.728
N8 0.252 0.719 0.310
Na1 0.990 0.990 0.029
U1 0.416 0.416 0.751

Values from the calculation:
**Mass density**: 6.77 g cm⁻³
**SG**: R3m (160)
**Formation energy from raw total energies**: -0.737 eV per atom
**V**: 182.62 Å³/f.u.
**DFT total energy**: -0.6815 Ry/atom
**Total magnetization**: 0.0 Bohr magnetons per cell